i | Below is an optimized crystal structure of YHRh3, with properties calculated at the PBE level.

```
data_YHRh3
_chemical_formula_sum 'Y2 H2 Rh6'
_space_group_name_H-M_alt 'P 1'
_space_group_IT_number 1
_cell_length_a 5.066
_cell_length_b 5.769
_cell_length_c 5.063
_cell_angle_alpha 90.00
_cell_angle_beta 110.61
_cell_angle_gamma 90.00
loop_
_space_group_symop_operation_xyz
'x,y,z'
loop_
_atom_site_label
_atom_site_fract_x
_atom_site_fract_y
_atom_site_fract_z
_atom_site_occupancy
Y1 0.242 0.250 0.258 1
Y2 0.758 0.750 0.742 1
H1 0.529 0.250 0.965 1
H2 0.471 0.750 0.035 1
Rh1 0.747 0.500 0.247 1
Rh2 0.253 0.500 0.753 1
Rh3 0.747 0.000 0.247 1
Rh4 0.253 0.000 0.753 1
Rh5 0.763 0.250 0.737 1
Rh6 0.237 0.750 0.263 1
```

Results
density = 9.559 g cm⁻³

***

ii | Below is an optimized crystal structure of YHRh3, with properties calculated at the PBE level.

```
data_YHRh3
_chemical_formula_sum 'Y4 H4 Rh12'
_space_group_name_H-M_alt 'P 1'
_space_group_IT_number 1
_cell_length_a 12.551
_cell_length_b 7.668
_cell_length_c 7.668
_cell_angle_alpha 110.46
_cell_angle_beta 137.65
_cell_angle_gamma 42.35
loop_
_space_group_symop_operation_xyz
'x,y,z'
loop_
_atom_site_label
_atom_site_fract_x
_atom_site_fract_y
_atom_site_fract_z
_atom_site_occupancy
Y1 0.313 0.207 0.522 1
Y2 0.187 0.022 0.707 1
Y3 0.687 0.793 0.478 1
Y4 0.813 0.978 0.293 1
H1 0.750 0.992 0.492 1
H2 0.250 0.008 0.508 1
H3 0.750 0.230 0.730 1
H4 0.250 0.770 0.270 1
Rh1 0.825 0.654 0.966 1
Rh2 0.675 0.466 0.154 1
Rh3 0.175 0.346 0.034 1
Rh4 0.325 0.534 0.846 1
Rh5 0.348 0.821 0.181 1
Rh6 0.152 0.681 0.321 1
Rh7 0.652 0.179 0.819 1
Rh8 0.848 0.319 0.679 1
Rh9 0.518 0.645 0.677 1
Rh10 0.982 0.177 0.145 1
Rh11 0.482 0.355 0.323 1
Rh12 0.018 0.823 0.855 1
```

Results
density = 8.774 g cm⁻³

***

Most favorable first, least favorable last: i, ii